Record 1
This record from Alexandria via LeMat-Bulk describes ZnCu2Pt2 after structural relaxation. The functional is PBE.

Results
**Total magnetization**: 0.00 μB/cell
**Fermi-level density of states**: 2.32 states/eV/f.u.
**Relative energy among the computed polymorphs**: 129 meV per atom

Cell lengths 7.087, 7.087, 2.972 Å; angles 90.00, 90.00, 90.00 degrees
Atoms (fractional coordinates):
Zn  0.000  0.000  0.000
Zn  0.500  0.500  0.000
Cu  0.155  0.345  0.500
Cu  0.345  0.845  0.500
Cu  0.655  0.155  0.500
Cu  0.845  0.655  0.500
Pt  0.143  0.643  0.000
Pt  0.357  0.143  0.000
Pt  0.643  0.857  0.000
Pt  0.857  0.357  0.000

Record 2
This record from Alexandria via LeMat-Bulk describes Zn3Cu3Pt after structural relaxation. The functional is PBE.

Results
**Total magnetization**: 0.00 μB/cell
**Fermi-level density of states**: 1.80 states/eV/f.u.
**Relative energy among the computed polymorphs**: 38 meV per atom

Cell lengths 6.834, 6.834, 6.834 Å; angles 55.02, 55.02, 55.02 degrees
Atoms (fractional coordinates):
Zn  0.086  0.296  0.803
Zn  0.197  0.914  0.704
Zn  0.296  0.803  0.086
Zn  0.704  0.197  0.914
Zn  0.803  0.086  0.296
Zn  0.914  0.704  0.197
Cu  0.065  0.746  0.571
Cu  0.254  0.429  0.935
Cu  0.429  0.935  0.254
Cu  0.571  0.065  0.746
Cu  0.746  0.571  0.065
Cu  0.935  0.254  0.429
Pt  0.336  0.336  0.336
Pt  0.664  0.664  0.664

Record 3
This record from Alexandria via LeMat-Bulk describes Zn5CuPt2 after structural relaxation. The functional is PBE.

Results
**Total magnetization**: 0.00 μB/cell
**Fermi-level density of states**: 2.32 states/eV/f.u.

Cell lengths 4.543, 4.543, 11.172 Å; angles 90.00, 90.00, 90.00 degrees
Atoms (fractional coordinates):
Zn  0.000  0.000  0.000
Zn  0.000  0.500  0.124
Zn  0.000  0.500  0.376
Zn  0.000  0.500  0.624
Zn  0.000  0.500  0.876
Zn  0.500  0.000  0.124
Zn  0.500  0.000  0.376
Zn  0.500  0.000  0.624
Zn  0.500  0.000  0.876
Zn  0.500  0.500  0.500
Cu  0.000  0.000  0.500
Cu  0.500  0.500  0.000
Pt  0.000  0.000  0.249
Pt  0.000  0.000  0.751
Pt  0.500  0.500  0.251
Pt  0.500  0.500  0.749

Record 4
This record from Alexandria via LeMat-Bulk describes Zn6CuPt2 after structural relaxation. The functional is PBE.

Results
**Total magnetization**: 0.00 μB/cell
**Fermi-level density of states**: 2.86 states/eV/f.u.
**Relative energy among the computed polymorphs**: 0 meV per atom

Cell lengths 4.736, 4.736, 8.199 Å; angles 107.41, 107.41, 47.85 degrees
Atoms (fractional coordinates):
Zn  0.000  0.000  0.175
Zn  0.000  0.000  0.825
Zn  0.333  0.333  0.942
Zn  0.334  0.334  0.606
Zn  0.666  0.666  0.394
Zn  0.667  0.667  0.058
Cu  0.000  0.000  0.500
Pt  0.331  0.331  0.276
Pt  0.669  0.669  0.724

Record 5
This record from Alexandria via LeMat-Bulk describes ZnCu2Pt after structural relaxation. The functional is PBE.

Results
**Total magnetization**: 0.00 μB/cell
**Fermi-level density of states**: 1.11 states/eV/f.u.

Cell lengths 2.762, 3.645, 5.352 Å; angles 90.00, 90.19, 90.00 degrees
Atoms (fractional coordinates):
Zn  0.000  0.000  0.000
Cu  0.000  0.000  0.483
Cu  0.499  0.500  0.254
Pt  0.499  0.500  0.749

Record 6
This record from Alexandria via LeMat-Bulk describes ZnCu6Pt5 after structural relaxation. The functional is PBE.

Results
**Total magnetization**: 0.00 μB/cell
**Fermi-level density of states**: 5.78 states/eV/f.u.

Cell lengths 7.126, 7.126, 7.126 Å; angles 148.51, 117.48, 71.69 degrees
Atoms (fractional coordinates):
Zn  0.000  0.000  0.000
Cu  0.084  0.832  0.252
Cu  0.255  0.500  0.755
Cu  0.420  0.168  0.252
Cu  0.580  0.832  0.748
Cu  0.745  0.500  0.245
Cu  0.916  0.168  0.748
Pt  0.157  0.657  0.500
Pt  0.331  0.331  0.000
Pt  0.500  0.000  0.500
Pt  0.669  0.669  0.000
Pt  0.843  0.343  0.500

Record 7
This record from Alexandria via LeMat-Bulk describes ZnCuPt after structural relaxation. The functional is PBE.

Results
**Total magnetization**: 0.00 μB/cell
**Fermi-level density of states**: 0.56 states/eV/f.u.
**Relative energy among the computed polymorphs**: 22 meV per atom

Cell lengths 4.177, 4.177, 2.762 Å; angles 90.00, 90.00, 120.00 degrees
Atoms (fractional coordinates):
Zn  0.000  0.000  0.000
Cu  0.333  0.667  0.085
Pt  0.667  0.333  0.547

Record 8
This record from Alexandria via LeMat-Bulk describes ZnCuPt after structural relaxation. The functional is PBE.

Results
**Total magnetization**: 0.00 μB/cell
**Fermi-level density of states**: 2.02 states/eV/f.u.
**Relative energy among the computed polymorphs**: 137 meV per atom

Cell lengths 2.786, 2.786, 6.323 Å; angles 90.00, 90.00, 120.00 degrees
Atoms (fractional coordinates):
Zn  0.000  0.000  0.000
Cu  0.667  0.333  0.319
Pt  0.333  0.667  0.661

| no. | energy relative to the elements (eV per atom) |
| --- | --- |
| 1 | -0.0962 |
| 2 | -0.0618 |
| 3 | -0.2877 |
| 4 | -0.3319 |
| 5 | -0.2471 |
| 6 | -0.2014 |
| 7 | -0.3152 |
| 8 | -0.1993 |